[1]
A relaxed structure of BaCrSbTe2. Source: the Alexandria database, functional GGA-PBE.

Raw formation energy, eV/atom: -0.46
D(E_F), states/eV/f.u.: 3.6
Energy relative to the lowest polymorph listed for this composition, eV per formula unit: 0.00
Calculated total energy, eV/atom: -4.85

Cell: 5.5742 5.5742 5.0964 Å, 90.00 90.00 90.00°
With the nearest neighbours (Å) after each atom.
Space group P4/mmm (No. 123)
One atom of each set of equivalent atoms:
Ba (0.0000, 0.0000, 0.0000) x1  8 Te 3.78, 4 Sb 3.94
Cr (0.5000, 0.5000, 0.5000) x1  2 Sb 2.55, 4 Te 2.79
Sb (0.5000, 0.5000, 0.0000) x1  2 Cr 2.55
Te (0.0000, 0.5000, 0.5000) x2  2 Cr 2.79


[2]
A relaxed structure of BaScCr3. Source: the Alexandria database, functional GGA-PBE.

D(E_F), states/eV/f.u.: 3.1
Energy relative to the lowest polymorph listed for this composition, eV per formula unit: 4.17
Calculated total energy, eV/atom: -5.34

Cell: 5.0188 5.0188 5.0188 Å, 90.00 90.00 90.00°
With the nearest neighbours (Å) after each atom.
Space group Pm-3m (No. 221)
One atom of each set of equivalent atoms:
Ba (0.0000, 0.0000, 0.0000) x1  6 Cr 2.51
Sc (0.5000, 0.5000, 0.5000) x1  12 Cr 3.55
Cr (0.0000, 0.0000, 0.5000) x3  2 Ba 2.51


[3]
A relaxed structure of BaSc2Cr. Source: the Alexandria database, functional GGA-PBE.

D(E_F), states/eV/f.u.: 4.0
Energy relative to the lowest polymorph listed for this composition, eV per formula unit: 0.67
Calculated total energy, eV/atom: -5.55

Cell: 3.5845 5.6369 11.0058 Å, 90.00 90.00 90.00°
With the nearest neighbours (Å) after each atom.
Space group Immm (No. 71)
One atom of each set of equivalent atoms:
Ba (0.0000, 0.0000, 0.0000) x2  4 Cr 3.34, 2 Ba 3.58, 8 Sc 3.64-3.67
Sc (0.0000, 0.5000, 0.2088) x4  2 Cr 2.91
Cr (0.0000, 0.0000, 0.5000) x2  4 Sc 2.91


[4]
A relaxed structure of BaSc2Cr. Source: the Alexandria database, functional GGA-PBE.

D(E_F), states/eV/f.u.: 5.3
Energy relative to the lowest polymorph listed for this composition, eV per formula unit: 0.40
Calculated total energy, eV/atom: -5.62

Cell: 3.7404 3.7404 8.3084 Å, 90.00 90.00 90.00°
With the nearest neighbours (Å) after each atom.
Space group P4mm (No. 99)
One atom of each set of equivalent atoms:
Ba (0.0000, 0.0000, 0.0000) x1  5 Sc 3.60-3.93, 4 Cr 3.63, 4 Ba 3.74
Sc (0.0000, 0.0000, 0.4327) x1  4 Cr 2.87, 4 Sc 3.20
Sc (0.5000, 0.5000, 0.6500) x1  1 Cr 2.92, 4 Sc 3.20
Cr (0.5000, 0.5000, 0.2991) x1  5 Sc 2.87-2.92